1.
## Th8Ge3Te4Pt (PBE)

Data for Th8Ge3Te4Pt after structural relaxation.

Values from the calculation:
**Electronic total energy**: -108.45 eV/f.u.
**D(E_F)**: 10.94 states/eV/cell
**E_form (uncorrected)**: -1039 meV per atom
**Crystal system**: trigonal
**Magnetic moment**: 0.00 μB/atom

abc: 8.8644 8.8644 8.8644
angles: 59.02 59.02 59.02
Closest atoms and distances in Å follow each position.
Sites, in units of the cell vectors:
Th (0.2395, 0.2395, 0.2395)  3 Ge 2.98, 3 Te 3.25
Th (0.2453, 0.7352, 0.7352)  1 Pt 2.93, 2 Ge 2.99, 2 Te 3.24
Th (0.2648, 0.2648, 0.7547)  1 Pt 2.93, 2 Ge 2.99, 2 Te 3.24
Th (0.2648, 0.7547, 0.2648)  1 Pt 2.93, 2 Ge 2.99, 2 Te 3.24
Th (0.7352, 0.2453, 0.7352)  1 Pt 2.93, 2 Ge 2.99, 2 Te 3.24
Th (0.7352, 0.7352, 0.2453)  1 Pt 2.93, 2 Ge 2.99, 2 Te 3.24
Th (0.7547, 0.2648, 0.2648)  1 Pt 2.93, 2 Ge 2.99, 2 Te 3.24
Th (0.7605, 0.7605, 0.7605)  3 Ge 2.98, 3 Te 3.25
Ge (0.0000, 0.0000, 0.5000)  6 Th 2.98-2.99
Ge (0.0000, 0.5000, 0.0000)  6 Th 2.98-2.99
Ge (0.5000, 0.0000, 0.0000)  6 Th 2.98-2.99
Te (0.0000, 0.0000, 0.0000)  6 Th 3.30
Te (0.0000, 0.5000, 0.5000)  6 Th 3.24-3.25
Te (0.5000, 0.0000, 0.5000)  6 Th 3.24-3.25
Te (0.5000, 0.5000, 0.0000)  6 Th 3.24-3.25
Pt (0.5000, 0.5000, 0.5000)  6 Th 2.93

---

2.
## GeTe2PtW (PBE)

Data for GeTe2PtW after structural relaxation.

Values from the calculation:
**Electronic total energy**: -24.21 eV/f.u.
**D(E_F)**: 2.86 states/eV/cell
**E_form (uncorrected)**: 1137 meV per atom
**Crystal system**: tetragonal
**Magnetic moment**: 0.71 μB/atom

abc: 5.4360 5.4360 4.5722
angles: 90.00 90.00 90.00
Closest atoms and distances in Å follow each position.
Sites, in units of the cell vectors:
Ge (0.0000, 0.0000, 0.0000)  2 Pt 2.29
Te (0.0000, 0.5000, 0.5000)  2 Pt 2.72
Te (0.5000, 0.0000, 0.5000)  2 Pt 2.72
Pt (0.0000, 0.0000, 0.5000)  2 Ge 2.29
W (0.5000, 0.5000, 0.0000)  8 Te 3.55, 4 Ge 3.84

---

3.
## Y8Ge3Te4Pt (PBE)

Data for Y8Ge3Te4Pt after structural relaxation.

Values from the calculation:
**Electronic total energy**: -103.46 eV/f.u.
**D(E_F)**: 6.46 states/eV/cell
**E_form (uncorrected)**: -1206 meV per atom
**Crystal system**: trigonal
**Magnetic moment**: 0.00 μB/atom

abc: 8.6419 8.6419 8.6419
angles: 58.67 58.67 58.67
Closest atoms and distances in Å follow each position.
Sites, in units of the cell vectors:
Y (0.2387, 0.7401, 0.7401)  2 Ge 2.90, 1 Pt 2.91, 3 Te 3.15-3.16
Y (0.2405, 0.2405, 0.2405)  3 Ge 2.91, 3 Te 3.15
Y (0.2599, 0.2599, 0.7613)  2 Ge 2.90, 1 Pt 2.91, 3 Te 3.15-3.16
Y (0.2599, 0.7613, 0.2599)  2 Ge 2.90, 1 Pt 2.91, 3 Te 3.15-3.16
Y (0.7401, 0.2387, 0.7401)  2 Ge 2.90, 1 Pt 2.91, 3 Te 3.15-3.16
Y (0.7401, 0.7401, 0.2387)  2 Ge 2.90, 1 Pt 2.91, 3 Te 3.15-3.16
Y (0.7595, 0.7595, 0.7595)  3 Ge 2.91, 3 Te 3.15
Y (0.7613, 0.2599, 0.2599)  2 Ge 2.90, 1 Pt 2.91, 3 Te 3.15-3.16
Ge (0.0000, 0.0000, 0.5000)  6 Y 2.90-2.91
Ge (0.0000, 0.5000, 0.0000)  6 Y 2.90-2.91
Ge (0.5000, 0.0000, 0.0000)  6 Y 2.90-2.91
Te (0.0000, 0.0000, 0.0000)  6 Y 3.15
Te (0.0000, 0.5000, 0.5000)  6 Y 3.15-3.16
Te (0.5000, 0.0000, 0.5000)  6 Y 3.15-3.16
Te (0.5000, 0.5000, 0.0000)  6 Y 3.15-3.16
Pt (0.5000, 0.5000, 0.5000)  6 Y 2.91

---

4.
## Th3Ge3Pt2 (PBE)

Data for Th3Ge3Pt2 after structural relaxation.

Values from the calculation:
**Electronic total energy**: -56.05 eV/f.u.
**Energy of formation**: -0.983 eV/atom
**D(E_F)**: 7.55 states/eV/cell
**Crystal system**: orthorhombic
**Magnetic moment**: 0.00 μB/atom

abc: 5.8975 5.8975 15.4275
angles: 90.00 90.00 136.79
Closest atoms and distances in Å follow each position.
Sites, in units of the cell vectors:
Th (0.0974, 0.9026, 0.7500)  5 Ge 3.03-3.27, 4 Pt 3.08
Th (0.3701, 0.6299, 0.5970)  4 Pt 3.15-3.32, 7 Ge 3.18-3.30
Th (0.3701, 0.6299, 0.9030)  4 Pt 3.15-3.32, 7 Ge 3.18-3.30
Th (0.6299, 0.3701, 0.0970)  4 Pt 3.15-3.32, 7 Ge 3.18-3.30
Th (0.6299, 0.3701, 0.4030)  4 Pt 3.15-3.32, 7 Ge 3.18-3.30
Th (0.9026, 0.0974, 0.2500)  5 Ge 3.03-3.27, 4 Pt 3.08
Ge (0.0872, 0.9128, 0.5507)  1 Ge 2.47, 2 Pt 2.54
Ge (0.0872, 0.9128, 0.9493)  1 Ge 2.47, 2 Pt 2.54
Ge (0.1793, 0.8207, 0.2500)  2 Pt 2.68
Ge (0.8207, 0.1793, 0.7500)  2 Pt 2.68
Ge (0.9128, 0.0872, 0.0507)  1 Ge 2.47, 2 Pt 2.54
Ge (0.9128, 0.0872, 0.4493)  1 Ge 2.47, 2 Pt 2.54
Pt (0.3359, 0.6641, 0.1168)  3 Ge 2.54-2.68
Pt (0.3359, 0.6641, 0.3832)  3 Ge 2.54-2.68
Pt (0.6641, 0.3359, 0.6168)  3 Ge 2.54-2.68
Pt (0.6641, 0.3359, 0.8832)  3 Ge 2.54-2.68

---

5.
## ThGePt (PBE)

Data for ThGePt after structural relaxation.

Values from the calculation:
**Electronic total energy**: -21.38 eV/f.u.
**Energy of formation**: -1.101 eV/atom
**D(E_F)**: 2.28 states/eV/cell
**Crystal system**: trigonal
**Magnetic moment**: 0.00 μB/atom

abc: 4.4293 4.4293 3.8531
angles: 90.00 90.00 120.00
Closest atoms and distances in Å follow each position.
Sites, in units of the cell vectors:
Th (0.0000, 0.0000, 0.0000)  6 Ge 3.19-3.22, 6 Pt 3.20-3.21
Ge (0.6667, 0.3333, 0.5061)  3 Pt 2.56
Pt (0.3333, 0.6667, 0.4979)  3 Ge 2.56

---

6.
## Th3Ge4Pt7 (PBE)

Data for Th3Ge4Pt7 after structural relaxation.

Values from the calculation:
**Electronic total energy**: -96.48 eV/f.u.
**Energy of formation**: -0.962 eV/atom
**D(E_F)**: 7.38 states/eV/cell
**Crystal system**: monoclinic
**Magnetic moment**: 0.00 μB/atom

abc: 8.4332 8.4332 10.0798
angles: 126.68 126.68 28.81
Closest atoms and distances in Å follow each position.
Sites, in units of the cell vectors:
Th (0.0000, 0.0000, 0.0000)  6 Pt 3.16-3.18, 6 Ge 3.27-3.44
Th (0.3229, 0.3229, 0.3330)  8 Pt 2.97-3.19, 4 Ge 3.18-3.22
Th (0.6771, 0.6771, 0.6670)  8 Pt 2.97-3.19, 4 Ge 3.18-3.22
Ge (0.1389, 0.1389, 0.8666)  6 Pt 2.62-2.91
Ge (0.3252, 0.3252, 0.6715)  4 Pt 2.49-2.66
Ge (0.6748, 0.6748, 0.3285)  4 Pt 2.49-2.66
Ge (0.8611, 0.8611, 0.1334)  6 Pt 2.62-2.91
Pt (0.0000, 0.0000, 0.5000)  6 Pt 2.82-2.95, 2 Ge 2.91, 4 Th 3.10
Pt (0.1266, 0.1266, 0.3976)  3 Ge 2.49-2.66
Pt (0.3314, 0.3314, 0.9241)  1 Ge 2.49
Pt (0.4816, 0.4816, 0.2775)  3 Ge 2.62-2.87, 3 Pt 2.82
Pt (0.5184, 0.5184, 0.7225)  3 Ge 2.62-2.87, 3 Pt 2.82
Pt (0.6686, 0.6686, 0.0759)  1 Ge 2.49
Pt (0.8734, 0.8734, 0.6024)  3 Ge 2.49-2.66

---

7.
## Th2GePt9 (PBE)

Data for Th2GePt9 after structural relaxation.

Values from the calculation:
**Electronic total energy**: -83.36 eV/f.u.
**Energy of formation**: -0.795 eV/atom
**D(E_F)**: 1.82 states/eV/cell
**Crystal system**: tetragonal
**Magnetic moment**: 0.00 μB/atom

abc: 4.1997 4.1997 12.2159
angles: 90.00 90.00 90.00
Closest atoms and distances in Å follow each position.
Sites, in units of the cell vectors:
Th (0.0000, 0.0000, 0.1753)  12 Pt 2.97-3.00
Th (0.0000, 0.0000, 0.8247)  12 Pt 2.97-3.00
Ge (0.0000, 0.0000, 0.5000)  12 Pt 2.80-2.97
Pt (0.0000, 0.5000, 0.0000)  8 Pt 2.97-3.00, 4 Th 3.00
Pt (0.0000, 0.5000, 0.3485)  8 Pt 2.80-2.98, 2 Ge 2.80, 2 Th 2.98
Pt (0.0000, 0.5000, 0.6515)  2 Ge 2.80, 8 Pt 2.80-2.98, 2 Th 2.98
Pt (0.5000, 0.0000, 0.0000)  8 Pt 2.97-3.00, 4 Th 3.00
Pt (0.5000, 0.0000, 0.3485)  8 Pt 2.80-2.98, 2 Ge 2.80, 2 Th 2.98
Pt (0.5000, 0.0000, 0.6515)  2 Ge 2.80, 8 Pt 2.80-2.98, 2 Th 2.98
Pt (0.5000, 0.5000, 0.1754)  4 Th 2.97, 8 Pt 2.98-3.00
Pt (0.5000, 0.5000, 0.5000)  8 Pt 2.80, 4 Ge 2.97
Pt (0.5000, 0.5000, 0.8246)  4 Th 2.97, 8 Pt 2.98-3.00

---

8.
## ThGe2Pt (PBE)

Data for ThGe2Pt after structural relaxation.

Values from the calculation:
**Electronic total energy**: -26.12 eV/f.u.
**Energy of formation**: -0.856 eV/atom
**D(E_F)**: 6.02 states/eV/cell
**Crystal system**: orthorhombic
**Magnetic moment**: 0.00 μB/atom

abc: 9.7857 9.7857 9.7857
angles: 153.72 126.92 60.17
Closest atoms and distances in Å follow each position.
Sites, in units of the cell vectors:
Th (0.2018, 0.2018, 0.0000)  8 Ge 3.07-3.12, 6 Pt 3.24-3.33
Th (0.2516, 0.0000, 0.2516)  10 Ge 3.34-3.42, 4 Pt 3.37
Th (0.7484, 0.0000, 0.7484)  10 Ge 3.34-3.42, 4 Pt 3.37
Th (0.7982, 0.7982, 0.0000)  8 Ge 3.07-3.12, 6 Pt 3.24-3.33
Ge (0.0722, 0.5722, 0.5000)  1 Ge 2.45, 2 Pt 2.55
Ge (0.1563, 0.8049, 0.3513)  3 Pt 2.51-2.77, 1 Ge 2.60
Ge (0.4274, 0.4274, 0.0000)  1 Ge 2.46, 2 Pt 2.54
Ge (0.4536, 0.8049, 0.6487)  3 Pt 2.51-2.77, 1 Ge 2.60
Ge (0.5464, 0.1951, 0.3513)  3 Pt 2.51-2.77, 1 Ge 2.60
Ge (0.5726, 0.5726, 0.0000)  1 Ge 2.46, 2 Pt 2.54
Ge (0.8437, 0.1951, 0.6487)  3 Pt 2.51-2.77, 1 Ge 2.60
Ge (0.9278, 0.4278, 0.5000)  1 Ge 2.45, 2 Pt 2.55
Pt (0.1007, 0.3502, 0.7505)  5 Ge 2.51-2.77
Pt (0.4003, 0.6498, 0.7505)  5 Ge 2.51-2.77
Pt (0.5997, 0.3502, 0.2495)  5 Ge 2.51-2.77
Pt (0.8993, 0.6498, 0.2495)  5 Ge 2.51-2.77

---

9.
## ThGe2Pt (PBE)

Data for ThGe2Pt after structural relaxation.

Values from the calculation:
**Electronic total energy**: -24.52 eV/f.u.
**Energy of formation**: -0.456 eV/atom
**D(E_F)**: 8.03 states/eV/cell
**Crystal system**: trigonal
**Magnetic moment**: 0.00 μB/atom

abc: 5.1691 5.1691 10.8761
angles: 90.00 90.00 120.00
Closest atoms and distances in Å follow each position.
Sites, in units of the cell vectors:
Th (0.0000, 0.0000, 0.0000)  8 Ge 2.92-3.07
Th (0.3333, 0.6667, 0.6667)  8 Ge 2.92-3.07
Th (0.6667, 0.3333, 0.3333)  8 Ge 2.92-3.07
Ge (0.0000, 0.0000, 0.2688)  1 Pt 2.51
Ge (0.0000, 0.0000, 0.7312)  1 Pt 2.51
Ge (0.3333, 0.6667, 0.3979)  1 Pt 2.51
Ge (0.3333, 0.6667, 0.9355)  1 Pt 2.51
Ge (0.6667, 0.3333, 0.0645)  1 Pt 2.51
Ge (0.6667, 0.3333, 0.6021)  1 Pt 2.51
Pt (0.0000, 0.0000, 0.5000)  2 Ge 2.51
Pt (0.3333, 0.6667, 0.1667)  2 Ge 2.51
Pt (0.6667, 0.3333, 0.8333)  2 Ge 2.51

---

10.
## Th2GePt6 (PBE)

Data for Th2GePt6 after structural relaxation.

Values from the calculation:
**Electronic total energy**: -64.84 eV/f.u.
**Energy of formation**: -1.015 eV/atom
**D(E_F)**: 3.34 states/eV/cell
**Offset from the most stable computed form**: 0.000 eV/atom
**Crystal system**: trigonal
**Magnetic moment**: 0.00 μB/atom

abc: 5.7852 5.7852 5.9658
angles: 90.00 90.00 120.00
Closest atoms and distances in Å follow each position.
Sites, in units of the cell vectors:
Th (0.3333, 0.6667, 0.1715)  9 Pt 3.01-3.28
Th (0.6667, 0.3333, 0.8285)  9 Pt 3.01-3.28
Ge (0.0000, 0.0000, 0.0000)  6 Pt 2.54
Pt (0.1738, 0.3476, 0.6906)  1 Ge 2.54, 2 Pt 2.77
Pt (0.1738, 0.8262, 0.6906)  1 Ge 2.54, 2 Pt 2.77
Pt (0.3476, 0.1738, 0.3094)  1 Ge 2.54, 2 Pt 2.77
Pt (0.6524, 0.8262, 0.6906)  1 Ge 2.54, 2 Pt 2.77
Pt (0.8262, 0.1738, 0.3094)  1 Ge 2.54, 2 Pt 2.77
Pt (0.8262, 0.6524, 0.3094)  1 Ge 2.54, 2 Pt 2.77

---

11.
## Th4GePt (PBE)

Data for Th4GePt after structural relaxation.

Values from the calculation:
**Electronic total energy**: -44.24 eV/f.u.
**Energy of formation**: -0.650 eV/atom
**D(E_F)**: 13.32 states/eV/cell
**Crystal system**: tetragonal
**Magnetic moment**: 0.00 μB/atom

abc: 7.4428 7.4428 5.8496
angles: 90.00 90.00 90.00
Closest atoms and distances in Å follow each position.
Sites, in units of the cell vectors:
Th (0.1599, 0.3370, 0.0000)  2 Pt 3.14, 2 Ge 3.17, 3 Th 3.40-3.47
Th (0.1599, 0.6630, 0.5000)  2 Pt 3.14, 2 Ge 3.17, 3 Th 3.40-3.47
Th (0.3370, 0.1599, 0.5000)  2 Pt 3.14, 2 Ge 3.17, 3 Th 3.40-3.47
Th (0.3370, 0.8401, 0.0000)  2 Pt 3.14, 2 Ge 3.17, 3 Th 3.40-3.47
Th (0.6630, 0.1599, 0.0000)  2 Pt 3.14, 2 Ge 3.17, 3 Th 3.40-3.47
Th (0.6630, 0.8401, 0.5000)  2 Pt 3.14, 2 Ge 3.17, 3 Th 3.40-3.47
Th (0.8401, 0.3370, 0.5000)  2 Pt 3.14, 2 Ge 3.17, 3 Th 3.40-3.47
Th (0.8401, 0.6630, 0.0000)  2 Pt 3.14, 2 Ge 3.17, 3 Th 3.40-3.47
Ge (0.5000, 0.5000, 0.2500)  2 Ge 2.92, 8 Th 3.17
Ge (0.5000, 0.5000, 0.7500)  2 Ge 2.92, 8 Th 3.17
Pt (0.0000, 0.0000, 0.2500)  2 Pt 2.92, 8 Th 3.14
Pt (0.0000, 0.0000, 0.7500)  2 Pt 2.92, 8 Th 3.14

---

12.
## Th2Ge3Pt9 (PBE)

Data for Th2Ge3Pt9 after structural relaxation.

Values from the calculation:
**Electronic total energy**: -94.43 eV/f.u.
**Energy of formation**: -0.812 eV/atom
**D(E_F)**: 12.09 states/eV/cell
**Crystal system**: monoclinic
**Magnetic moment**: 0.00 μB/atom

abc: 7.9225 7.9225 10.3658
angles: 113.39 113.39 60.01
Closest atoms and distances in Å follow each position.
Sites, in units of the cell vectors:
Th (0.0864, 0.2579, 0.2496)  11 Pt 3.01-3.29
Th (0.2579, 0.0864, 0.7496)  11 Pt 3.01-3.29
Th (0.7421, 0.9136, 0.2504)  11 Pt 3.01-3.29
Th (0.9136, 0.7421, 0.7504)  11 Pt 3.01-3.29
Ge (0.0000, 0.5000, 0.0000)  8 Pt 2.61-2.71
Ge (0.1402, 0.6839, 0.5050)  5 Pt 2.50-2.73
Ge (0.3161, 0.8598, 0.9950)  5 Pt 2.50-2.73
Ge (0.5000, 0.0000, 0.5000)  8 Pt 2.61-2.71
Ge (0.6839, 0.1402, 0.0050)  5 Pt 2.50-2.73
Ge (0.8598, 0.3161, 0.4950)  5 Pt 2.50-2.73
Pt (0.0184, 0.8596, 0.0808)  3 Ge 2.54-2.83, 1 Pt 2.78
Pt (0.1404, 0.9816, 0.4192)  3 Ge 2.54-2.83, 1 Pt 2.78
Pt (0.1978, 0.3585, 0.5761)  3 Ge 2.62-2.73, 2 Pt 2.77-2.84
Pt (0.2110, 0.5846, 0.2648)  2 Ge 2.50-2.61, 1 Pt 2.78
Pt (0.2978, 0.4859, 0.9303)  3 Ge 2.67-2.98, 4 Pt 2.83-2.97
Pt (0.3585, 0.1978, 0.0761)  3 Ge 2.62-2.73, 2 Pt 2.77-2.84
Pt (0.3681, 0.6319, 0.7500)  2 Ge 2.52, 2 Pt 2.77
Pt (0.4154, 0.7890, 0.2352)  2 Ge 2.50-2.61, 1 Pt 2.78
Pt (0.4859, 0.2978, 0.4303)  3 Ge 2.67-2.98, 4 Pt 2.83-2.97
Pt (0.5141, 0.7022, 0.5697)  3 Ge 2.67-2.98, 4 Pt 2.83-2.97
Pt (0.5846, 0.2110, 0.7648)  2 Ge 2.50-2.61, 1 Pt 2.78
Pt (0.6319, 0.3681, 0.2500)  2 Ge 2.52, 2 Pt 2.77
Pt (0.6415, 0.8022, 0.9239)  3 Ge 2.62-2.73, 2 Pt 2.77-2.84
Pt (0.7022, 0.5141, 0.0697)  3 Ge 2.67-2.98, 4 Pt 2.83-2.97
Pt (0.7890, 0.4154, 0.7352)  2 Ge 2.50-2.61, 1 Pt 2.78
Pt (0.8022, 0.6415, 0.4239)  3 Ge 2.62-2.73, 2 Pt 2.77-2.84
Pt (0.8596, 0.0184, 0.5808)  3 Ge 2.54-2.83, 1 Pt 2.78
Pt (0.9816, 0.1404, 0.9192)  3 Ge 2.54-2.83, 1 Pt 2.78